1.
! Te2W3Se4 | Alexandria via LeMat-Bulk | PBEsol | optimized geometry; values from VASP
! DFT total energy ... -7.49 eV per atom
! E_form (uncorrected) ... -0.390 eV per atom
&SYSTEM
  ibrav = 0, nat = 9, ntyp = 3
/
ATOMIC_SPECIES
Te 127.60 Te.upf
W 183.84 W.upf
Se 78.96 Se.upf
ATOMIC_POSITIONS crystal
Te 0.0000 0.0000 0.9099
Te 0.0000 0.0000 0.0901
W 0.0000 0.0000 0.3261
W 0.0000 0.0000 0.6739
W 0.6667 0.3333 0.0000
Se 0.6667 0.3333 0.4051
Se 0.6667 0.3333 0.7530
Se 0.6667 0.3333 0.2470
Se 0.6667 0.3333 0.5949
CELL_PARAMETERS angstrom
3.3404 0.0000 0.0000
-1.6702 2.8929 0.0000
0.0000 0.0000 20.8885


2.
! ZrSc | Alexandria via LeMat-Bulk | PBEsol | optimized geometry; values from VASP
! DFT total energy ... -7.82 eV per atom
! Energy relative to the elements ... 0.03 eV/atom
&SYSTEM
  ibrav = 0, nat = 4, ntyp = 2
/
ATOMIC_SPECIES
Sc 44.96 Sc.upf
Zr 91.22 Zr.upf
ATOMIC_POSITIONS crystal
Sc 0.5000 0.0000 0.1352
Sc 0.0000 0.5000 0.8648
Zr 0.5000 0.0000 0.6234
Zr 0.0000 0.5000 0.3766
CELL_PARAMETERS angstrom
-2.2137 -0.7710 -2.1220
0.1485 -3.0151 0.9407
-6.4758 1.6066 6.1719


3.
! Sc2AlTe | Alexandria via LeMat-Bulk | PBEsol | optimized geometry; values from VASP
! DFT total energy ... -5.84 eV per atom
! E_form (uncorrected) ... -0.638 eV per atom
&SYSTEM
  ibrav = 0, nat = 4, ntyp = 3
/
ATOMIC_SPECIES
Sc 44.96 Sc.upf
Te 127.60 Te.upf
Al 26.98 Al.upf
ATOMIC_POSITIONS crystal
Sc 0.1133 0.0000 0.2266
Sc 0.3895 0.5000 0.7790
Te 0.8375 0.0000 0.6750
Al 0.6454 0.5000 0.2908
CELL_PARAMETERS angstrom
3.8579 0.0000 0.0000
0.0000 4.1571 0.0000
-1.9290 0.0000 5.3048


4.
! ScTi2AlAu | Alexandria via LeMat-Bulk | PBEsol | optimized geometry; values from VASP
! DFT total energy ... -5.75 eV per atom
! Energy relative to the elements ... 0.50 eV/atom
&SYSTEM
  ibrav = 0, nat = 5, ntyp = 4
/
ATOMIC_SPECIES
Sc 44.96 Sc.upf
Au 196.97 Au.upf
Al 26.98 Al.upf
Ti 47.87 Ti.upf
ATOMIC_POSITIONS crystal
Sc 0.5000 0.5000 0.5000
Au 0.5000 0.0000 0.0000
Al 0.0000 0.0000 0.0000
Ti 0.0000 0.0000 0.5000
Ti 0.0000 0.5000 0.0000
CELL_PARAMETERS angstrom
-0.4802 -0.7880 -4.5107
-3.5427 -2.9902 0.8995
-3.0835 3.5647 -0.2945


5.
! Be2CrRh | Alexandria via LeMat-Bulk | PBEsol | optimized geometry; values from VASP
! DFT total energy ... -6.78 eV per atom
! Energy relative to the elements ... -0.19 eV/atom
! Distance to the lowest polymorph of the same formula ... 0 meV per atom
&SYSTEM
  ibrav = 0, nat = 4, ntyp = 3
/
ATOMIC_SPECIES
Cr 52.00 Cr.upf
Rh 102.91 Rh.upf
Be 9.01 Be.upf
ATOMIC_POSITIONS crystal
Cr 0.4683 0.0000 0.9367
Rh 0.7824 0.5000 0.5648
Be 0.1952 0.0000 0.3904
Be 0.0556 0.5000 0.1112
CELL_PARAMETERS angstrom
2.6636 0.0000 0.0000
0.0000 3.5763 0.0000
-1.3318 0.0000 4.2154


6.
! Ba2AsBr | Alexandria via LeMat-Bulk | PBEsol | optimized geometry; values from VASP
! DFT total energy ... -4.26 eV per atom
! E_form (uncorrected) ... -1.444 eV per atom
&SYSTEM
  ibrav = 0, nat = 4, ntyp = 3
/
ATOMIC_SPECIES
As 74.92 As.upf
Ba 137.33 Ba.upf
Br 79.90 Br.upf
ATOMIC_POSITIONS crystal
As 0.5000 0.5000 0.5000
Ba 0.9944 0.0000 0.7146
Ba 0.0056 0.0000 0.2854
Br 0.5000 0.5000 0.0000
CELL_PARAMETERS angstrom
-0.4402 3.3392 2.1212
-3.9074 -0.7041 0.2975
1.2840 -4.1987 6.9268


7.
! Zr2FeNO | Alexandria via LeMat-Bulk | PBEsol | optimized geometry; values from VASP
! DFT total energy ... -8.38 eV per atom
! E_form (uncorrected) ... -0.197 eV per atom
&SYSTEM
  ibrav = 0, nat = 5, ntyp = 4
/
ATOMIC_SPECIES
O 16.00 O.upf
Fe 55.84 Fe.upf
Zr 91.22 Zr.upf
N 14.01 N.upf
ATOMIC_POSITIONS crystal
O 0.5000 0.5000 0.5000
Fe 0.0000 0.0000 0.0000
Zr 0.0000 0.0000 0.5000
Zr 0.0000 0.5000 0.0000
N 0.5000 0.0000 0.0000
CELL_PARAMETERS angstrom
-0.0655 -0.1974 -3.3506
-3.6222 -2.9802 0.2464
-2.9890 3.6201 -0.1548


8.
! Sc5Ag | Alexandria via LeMat-Bulk | PBEsol | optimized geometry; values from VASP
! DFT total energy ... -6.09 eV per atom
! Energy relative to the elements ... -0.03 eV/atom
! Distance to the lowest polymorph of the same formula ... 20 meV per atom
&SYSTEM
  ibrav = 0, nat = 6, ntyp = 2
/
ATOMIC_SPECIES
Sc 44.96 Sc.upf
Ag 107.87 Ag.upf
ATOMIC_POSITIONS crystal
Sc 0.2203 0.5000 0.4407
Sc 0.3421 0.0000 0.6842
Sc 0.5453 0.5000 0.0905
Sc 0.6674 0.0000 0.3348
Sc 0.8874 0.5000 0.7748
Ag 0.0042 0.0000 0.0084
CELL_PARAMETERS angstrom
-0.6650 -3.2442 0.0424
2.0261 -0.3565 4.4978
-6.7652 3.1203 3.2947